{"formula": "Na2PaPdO5", "functional": "PBE", "state": "relaxed", "total_magnetization_mub_per_fu": 0.9, "mass_density_g_cm3": 6.9, "formation_energy_uncorrected_ev_per_atom": -1.47, "sg": "I4/mcm", "cell": [[-3.246, 3.860, -3.210], [-4.845, -3.410, 0.800], [2.670, 2.954, 6.419]], "species": ["Na", "Na", "Na", "Na", "Pa", "Pa", "Pd", "Pd", "O", "O", "O", "O", "O", "O", "O", "O", "O", "O"], "frac_coords": [[0.163, 0.337, 0.000], [0.663, 0.163, 0.000], [0.337, 0.837, 0.000], [0.837, 0.663, 0.000], [0.250, 0.250, 0.500], [0.750, 0.750, 0.500], [0.250, 0.750, 0.500], [0.750, 0.250, 0.500], [0.954, 0.454, 0.315], [0.639, 0.139, 0.685], [0.046, 0.546, 0.685], [0.139, 0.046, 0.685], [0.546, 0.639, 0.685], [0.861, 0.954, 0.315], [0.454, 0.361, 0.315], [0.361, 0.861, 0.315], [0.500, 0.500, 0.000], [0.000, 0.000, 0.000]]}

{"formula": "NaPa2PdO8", "functional": "PBE", "state": "relaxed", "total_magnetization_mub_per_fu": 0.0, "mass_density_g_cm3": 6.9, "formation_energy_uncorrected_ev_per_atom": -2.02, "sg": "P-3m1", "cell": [[5.461, 0.000, 0.000], [-2.730, 4.729, 0.000], [0.000, 0.000, 6.711]], "species": ["Na", "Pa", "Pa", "Pd", "O", "O", "O", "O", "O", "O", "O", "O"], "frac_coords": [[0.000, 0.000, 0.500], [0.667, 0.333, 0.124], [0.333, 0.667, 0.876], [0.000, 0.000, 0.000], [0.821, 0.641, 0.851], [0.359, 0.179, 0.851], [0.821, 0.179, 0.851], [0.179, 0.359, 0.149], [0.641, 0.821, 0.149], [0.179, 0.821, 0.149], [0.667, 0.333, 0.402], [0.333, 0.667, 0.598]]}

{"formula": "NaPaPdO4", "functional": "PBE", "state": "relaxed", "total_magnetization_mub_per_fu": 0.0, "mass_density_g_cm3": 6.4, "formation_energy_uncorrected_ev_per_atom": -2.23, "sg": "Imma", "cell": [[6.067, 0.000, 0.000], [-3.034, 6.339, -0.159], [0.000, -3.563, 5.860]], "species": ["Na", "Na", "Pa", "Pa", "Pd", "Pd", "O", "O", "O", "O", "O", "O", "O", "O"], "frac_coords": [[0.826, 0.652, 0.076], [0.174, 0.348, 0.924], [0.500, 0.000, 0.500], [0.500, 0.000, 0.000], [0.500, 0.500, 0.500], [0.000, 0.500, 0.500], [0.709, 0.418, 0.656], [0.251, 0.929, 0.215], [0.678, 0.929, 0.215], [0.709, 0.418, 0.262], [0.291, 0.582, 0.738], [0.749, 0.071, 0.785], [0.322, 0.071, 0.785], [0.291, 0.582, 0.344]]}

{"formula": "NaPmPa2O8", "functional": "PBE", "state": "relaxed", "total_magnetization_mub_per_fu": 2.1, "mass_density_g_cm3": 7.5, "formation_energy_uncorrected_ev_per_atom": -2.47, "sg": "P-3", "cell": [[-3.160, -2.201, 4.460], [2.804, -3.631, -3.698], [4.538, 0.153, 3.291]], "species": ["Na", "Pm", "Pa", "Pa", "O", "O", "O", "O", "O", "O", "O", "O"], "frac_coords": [[0.000, 0.000, 0.000], [0.000, 0.000, 0.500], [0.667, 0.333, 0.079], [0.333, 0.667, 0.921], [0.947, 0.652, 0.818], [0.348, 0.295, 0.818], [0.705, 0.053, 0.818], [0.053, 0.348, 0.182], [0.652, 0.705, 0.182], [0.295, 0.947, 0.182], [0.667, 0.333, 0.431], [0.333, 0.667, 0.569]]}

{"formula": "Na2PmPaO5", "functional": "PBE", "state": "relaxed", "total_magnetization_mub_per_fu": 0.0, "mass_density_g_cm3": 5.3, "formation_energy_uncorrected_ev_per_atom": -2.63, "sg": "P4/mmm", "cell": [[4.198, 0.000, 0.000], [0.000, 4.198, 0.000], [0.000, 0.000, 8.856]], "species": ["Na", "Na", "Pm", "Pa", "O", "O", "O", "O", "O"], "frac_coords": [[0.500, 0.500, 0.267], [0.500, 0.500, 0.733], [0.000, 0.000, 0.000], [0.000, 0.000, 0.500], [0.000, 0.500, 0.500], [0.500, 0.000, 0.500], [0.000, 0.000, 0.750], [0.000, 0.000, 0.250], [0.500, 0.500, 0.000]]}

{"formula": "NaPmPaO4", "functional": "PBE", "state": "relaxed", "total_magnetization_mub_per_fu": 1.0, "mass_density_g_cm3": 6.1, "formation_energy_uncorrected_ev_per_atom": -2.96, "sg": "Imma", "cell": [[7.135, 0.000, 0.000], [-3.568, 6.151, -0.377], [0.000, -3.655, 6.011]], "species": ["Na", "Na", "Pm", "Pm", "Pa", "Pa", "O", "O", "O", "O", "O", "O", "O", "O"], "frac_coords": [[0.888, 0.775, 0.138], [0.112, 0.225, 0.862], [0.500, 0.000, 0.500], [0.500, 0.000, 0.000], [0.500, 0.500, 0.500], [0.000, 0.500, 0.500], [0.736, 0.472, 0.692], [0.308, 0.063, 0.282], [0.755, 0.063, 0.282], [0.736, 0.472, 0.280], [0.264, 0.528, 0.720], [0.692, 0.937, 0.718], [0.245, 0.937, 0.718], [0.264, 0.528, 0.308]]}

{"formula": "NaPm2PaO6", "functional": "PBE", "state": "relaxed", "total_magnetization_mub_per_fu": 0.0, "mass_density_g_cm3": 6.5, "formation_energy_uncorrected_ev_per_atom": -3.21, "sg": "R3", "cell": [[6.021, 0.000, 0.000], [3.011, 5.214, 0.000], [3.010, 1.738, 5.190]], "species": ["Na", "Pm", "Pm", "Pa", "O", "O", "O", "O", "O", "O"], "frac_coords": [[0.801, 0.801, 0.596], [0.529, 0.529, 0.414], [0.022, 0.022, 0.934], [0.316, 0.316, 0.053], [0.598, 0.226, 0.236], [0.226, 0.940, 0.236], [0.940, 0.598, 0.236], [0.391, 0.690, 0.770], [0.689, 0.149, 0.770], [0.149, 0.391, 0.770]]}

{"formula": "NaPrPaO4", "functional": "PBE", "state": "relaxed", "total_magnetization_mub_per_fu": 1.0, "mass_density_g_cm3": 5.8, "formation_energy_uncorrected_ev_per_atom": -2.93, "sg": "Imma", "cell": [[-5.317, 3.156, -3.585], [-1.377, -3.292, 6.269], [3.593, 6.065, 0.011]], "species": ["Na", "Na", "Pr", "Pr", "Pa", "Pa", "O", "O", "O", "O", "O", "O", "O", "O"], "frac_coords": [[0.891, 0.783, 0.141], [0.109, 0.217, 0.859], [0.500, 0.000, 0.500], [0.500, 0.000, 0.000], [0.500, 0.500, 0.500], [0.000, 0.500, 0.500], [0.736, 0.472, 0.690], [0.307, 0.079, 0.289], [0.772, 0.079, 0.289], [0.736, 0.472, 0.282], [0.264, 0.528, 0.718], [0.693, 0.921, 0.711], [0.228, 0.921, 0.711], [0.264, 0.528, 0.310]]}